Sc2CoRu | PBE | relaxed

Output
**V**: 16.35 Å³ per atom
**Total magnetization**: 0.8 Bohr magnetons per cell
**Energy of formation from the pure elements**: -0.208 eV per atom

Lattice parameters (Å, degrees): 5.373 5.373 5.373 139.28 139.28 58.95
Atoms (fractional coordinates):
Sc 0.000 0.000 0.000
Ru 0.750 0.250 0.500
Sc 0.250 0.750 0.500
Co 0.500 0.500 0.000


Sc4CoRu | PBE | relaxed

Output
**V**: 19.57 Å³ per atom
**Total magnetization**: 0.6 Bohr magnetons per cell
**Energy of formation from the pure elements**: -0.357 eV per atom

Lattice parameters (Å, degrees): 3.178 3.178 11.627 90.00 90.00 90.00
Atoms (fractional coordinates):
Sc 0.000 0.000 0.370
Sc 0.500 0.500 0.866
Sc 0.000 0.000 0.630
Sc 0.500 0.500 0.134
Ru 0.000 0.000 0.000
Co 0.500 0.500 0.500